Record 1
ThAl2Fe after structural relaxation, computed with GGA-PBE.

Total DFT energy (no corrections), eV per atom: -6.037
Calculated formation energy, eV/atom: -0.195
Space-group type: P4/mmm
Theoretical density, g cm⁻³: 8.00

a = 3.0923 Å, b = 3.0923 Å, c = 7.4211 Å
α = 90.00°, β = 90.00°, γ = 90.00°
Element x y z (fractional)
Fe (0.5000, 0.5000, 0.0000)
Th (0.5000, 0.5000, 0.5000)
Al (0.0000, 0.0000, 0.8242)
Al (0.0000, 0.0000, 0.1758)


Record 2
Rh3W after structural relaxation, computed with GGA-PBE.

Total DFT energy (no corrections), eV per atom: -9.025
Calculated formation energy, eV/atom: -0.273
Space-group type: P6_3/mmc
Theoretical density, g cm⁻³: 14.16

a = 5.5240 Å, b = 5.5240 Å, c = 4.3727 Å
α = 90.00°, β = 90.00°, γ = 120.00°
Element x y z (fractional)
Rh (0.8331, 0.1669, 0.2500)
Rh (0.1669, 0.8331, 0.7500)
Rh (0.8331, 0.6662, 0.2500)
Rh (0.1669, 0.3338, 0.7500)
Rh (0.3338, 0.1669, 0.2500)
Rh (0.6662, 0.8331, 0.7500)
W (0.3333, 0.6667, 0.2500)
W (0.6667, 0.3333, 0.7500)


Record 3
AcDyGa2Ru2 after structural relaxation, computed with GGA-PBE.

Total DFT energy (no corrections), eV per atom: -6.002
Calculated formation energy, eV/atom: -0.449
Space-group type: P-3m1
Theoretical density, g cm⁻³: 9.24

a = 4.3536 Å, b = 4.3536 Å, c = 8.0014 Å
α = 90.00°, β = 90.00°, γ = 120.00°
Element x y z (fractional)
Ac (0.0000, 0.0000, 0.0000)
Dy (0.0000, 0.0000, 0.5000)
Ga (0.6667, 0.3333, 0.7131)
Ga (0.3333, 0.6667, 0.2869)
Ru (0.6667, 0.3333, 0.2772)
Ru (0.3333, 0.6667, 0.7228)


Record 4
CsPmNiBr6 after structural relaxation, computed with GGA-PBE.

E_form (uncorrected), meV per atom: -1330
Total DFT energy (no corrections), eV per atom: -3.710
Space-group type: P312
Theoretical density, g cm⁻³: 3.75

a = 7.1477 Å, b = 7.1481 Å, c = 8.1673 Å
α = 90.01°, β = 90.00°, γ = 59.99°
Site moments in Bohr magnetons follow the coordinates.
Element x y z (fractional)
Cs (0.9999, 0.0000, 0.0000)  0.00
Pm (0.6666, 0.6667, 0.5000)  0.00
Ni (0.3334, 0.3333, 0.5000)  1.43
Br (0.0310, 0.3566, 0.3100)  0.08
Br (0.3565, 0.0311, 0.6900)  0.08
Br (0.6124, 0.3566, 0.6900)  0.08
Br (0.0309, 0.6125, 0.6899)  0.08
Br (0.3566, 0.6123, 0.3100)  0.08
Br (0.6124, 0.0310, 0.3100)  0.08


Record 5
Lu3C4 after structural relaxation, computed with GGA-PBE.

Total DFT energy (no corrections), eV per atom: -7.587
Calculated formation energy, eV/atom: -0.379
Space-group type: P4/mnc
Theoretical density, g cm⁻³: 9.80

a = 7.8681 Å, b = 7.8681 Å, c = 15.6839 Å
α = 90.00°, β = 90.00°, γ = 90.00°
Element x y z (fractional)
Lu (0.5000, 0.5000, 0.5000)
Lu (0.0000, 0.0000, 0.0000)
Lu (0.5000, 0.5000, 0.1871)
Lu (0.0000, 0.0000, 0.6871)
Lu (0.5000, 0.5000, 0.8129)
Lu (0.0000, 0.0000, 0.3129)
Lu (0.7024, 0.9040, 0.5000)
Lu (0.2976, 0.0960, 0.5000)
Lu (0.7976, 0.4040, 0.0000)
Lu (0.2024, 0.5960, 0.0000)
Lu (0.9040, 0.2976, 0.5000)
Lu (0.0960, 0.7024, 0.5000)
Lu (0.4040, 0.2024, 0.0000)
Lu (0.5960, 0.7976, 0.0000)
Lu (0.7880, 0.6001, 0.3546)
Lu (0.2120, 0.3999, 0.3546)
Lu (0.7120, 0.1001, 0.8546)
Lu (0.2880, 0.8999, 0.8546)
Lu (0.6001, 0.2120, 0.3546)
Lu (0.3999, 0.7880, 0.3546)
Lu (0.1001, 0.2880, 0.8546)
Lu (0.8999, 0.7120, 0.8546)
Lu (0.2120, 0.3999, 0.6454)
Lu (0.7880, 0.6001, 0.6454)
Lu (0.2880, 0.8999, 0.1454)
Lu (0.7120, 0.1001, 0.1454)
Lu (0.3999, 0.7880, 0.6454)
Lu (0.6001, 0.2120, 0.6454)
Lu (0.8999, 0.7120, 0.1454)
Lu (0.1001, 0.2880, 0.1454)
C (0.5000, 0.5000, 0.9582)
C (0.0000, 0.0000, 0.4582)
C (0.5000, 0.5000, 0.0418)
C (0.0000, 0.0000, 0.5418)
C (0.5000, 0.5000, 0.3428)
C (0.0000, 0.0000, 0.8428)
C (0.5000, 0.5000, 0.6572)
C (0.0000, 0.0000, 0.1572)
C (0.6066, 0.1961, 0.5000)
C (0.3934, 0.8039, 0.5000)
C (0.8934, 0.6961, 0.0000)
C (0.1066, 0.3039, 0.0000)
C (0.1961, 0.3934, 0.5000)
C (0.8039, 0.6066, 0.5000)
C (0.6961, 0.1066, 0.0000)
C (0.3039, 0.8934, 0.0000)
C (0.6933, 0.9026, 0.3290)
C (0.3067, 0.0974, 0.3290)
C (0.8067, 0.4026, 0.8290)
C (0.1933, 0.5974, 0.8290)
C (0.9026, 0.3067, 0.3290)
C (0.0974, 0.6933, 0.3290)
C (0.4026, 0.1933, 0.8290)
C (0.5974, 0.8067, 0.8290)
C (0.3067, 0.0974, 0.6710)
C (0.6933, 0.9026, 0.6710)
C (0.1933, 0.5974, 0.1710)
C (0.8067, 0.4026, 0.1710)
C (0.0974, 0.6933, 0.6710)
C (0.9026, 0.3067, 0.6710)
C (0.5974, 0.8067, 0.1710)
C (0.4026, 0.1933, 0.1710)
C (0.6500, 0.8500, 0.2500)
C (0.3500, 0.1500, 0.2500)
C (0.8500, 0.3500, 0.7500)
C (0.1500, 0.6500, 0.7500)
C (0.8500, 0.3500, 0.2500)
C (0.1500, 0.6500, 0.2500)
C (0.3500, 0.1500, 0.7500)
C (0.6500, 0.8500, 0.7500)


Record 6
La2MgBiO after structural relaxation, computed with GGA-PBE.

E_form (uncorrected), meV per atom: -1399
Total DFT energy (no corrections), eV per atom: -5.457
Space-group type: P4/mmm
Theoretical density, g cm⁻³: 7.27

a = 5.2282 Å, b = 5.2282 Å, c = 4.4049 Å
α = 90.00°, β = 90.00°, γ = 90.00°
Element x y z (fractional)
Mg (0.0000, 0.0000, 0.5000)
Bi (0.5000, 0.5000, 0.5000)
O (0.0000, 0.0000, 0.0000)
La (0.0000, 0.5000, 0.0000)
La (0.5000, 0.0000, 0.0000)


Which formula does entry 6 have? La2MgBiO


Look up the theoretical density of the fourth one. 3.75 g cm⁻³


The highest theoretical density belongs to which entry? Rh3W


Which formula does entry 5 have? Lu3C4